The following is a PBE-GGA calculation of a geometry-optimized KSnPb2I8 structure, from Alexandria.

Cell lengths 7.770, 7.383, 9.689 Å; angles 89.97, 89.99, 88.94 degrees
Element x y z (fractional)
K 0.000 0.000 0.500
Sn 0.000 0.000 0.000
Pb 0.500 0.500 0.752
Pb 0.500 0.500 0.248
I 0.157 0.755 0.220
I 0.673 0.763 0.000
I 0.843 0.245 0.220
I 0.843 0.245 0.780
I 0.327 0.237 0.000
I 0.157 0.755 0.780
I 0.639 0.731 0.500
I 0.361 0.269 0.500

Calculated values
The value obtained for the total energy is -2.717 eV/atom.

The following is a PBE-GGA calculation of a geometry-optimized K2SnPbI6 structure, from Alexandria.

Cell lengths 8.590, 8.589, 8.885 Å; angles 61.11, 61.09, 60.00 degrees
Element x y z (fractional)
K 0.528 0.528 0.416
K 0.027 0.027 0.919
Sn 0.321 0.322 0.036
Pb 0.821 0.821 0.538
I 0.584 0.182 0.266
I 0.182 0.968 0.266
I 0.968 0.584 0.266
I 0.462 0.678 0.770
I 0.678 0.090 0.770
I 0.090 0.462 0.770

Calculated values
The value obtained for the total energy is -2.847 eV/atom.

The following is a PBE-GGA calculation of a geometry-optimized KTbPbI6 structure, from Alexandria.

Cell lengths 8.116, 8.116, 15.524 Å; angles 90.00, 90.00, 120.00 degrees
Element x y z (fractional)
K 0.000 0.000 0.000
K 0.000 0.000 0.500
Tb 0.667 0.333 0.250
Tb 0.333 0.667 0.750
Pb 0.333 0.667 0.250
Pb 0.667 0.333 0.750
I 0.644 0.627 0.134
I 0.982 0.356 0.134
I 0.356 0.982 0.634
I 0.018 0.644 0.866
I 0.373 0.356 0.366
I 0.982 0.627 0.366
I 0.627 0.982 0.866
I 0.644 0.018 0.366
I 0.018 0.373 0.634
I 0.373 0.018 0.134
I 0.627 0.644 0.634
I 0.356 0.373 0.866

Calculated values
The value obtained for the total energy is -3.255 eV/atom.